# MgMnMo2

A geometry-optimized MgMnMo2 structure (GGA-PBE, the Alexandria database).

a = 3.758 Å, b = 3.758 Å, c = 4.459 Å
α = 90.00°, β = 90.00°, γ = 90.00°
Atoms (fractional coordinates):
Mg 0.000 0.000 0.000
Mn 0.500 0.500 0.000
Mo 0.000 0.500 0.500
Mo 0.500 0.000 0.500

- N(E_F): 3.94 states/eV/cell
- E: -31.1 eV for the cell shown
- Symmetry: P4/mmm, No. 123
- ΔE_f: 0.3274 eV per atom


# CsMg4Pb6

A geometry-optimized CsMg4Pb6 structure (GGA-PBE, the Alexandria database).

a = 8.788 Å, b = 8.788 Å, c = 5.174 Å
α = 90.00°, β = 90.00°, γ = 120.00°
Atoms (fractional coordinates):
Cs 0.000 0.000 0.000
Mg 0.333 0.667 0.000
Mg 0.426 0.213 0.500
Mg 0.787 0.213 0.500
Mg 0.787 0.574 0.500
Pb 0.204 0.407 0.500
Pb 0.204 0.796 0.500
Pb 0.534 0.068 0.000
Pb 0.534 0.466 0.000
Pb 0.593 0.796 0.500
Pb 0.932 0.466 0.000

- N(E_F): 3.83 states/eV/cell
- E: -29.9 eV for the cell shown
- Symmetry: P-6m2, No. 187
- ΔE_f: -0.0417 eV per atom


# K2RbI

A geometry-optimized K2RbI structure (GGA-PBE, the Alexandria database).

a = 9.916 Å, b = 9.916 Å, c = 9.916 Å
α = 90.00°, β = 90.00°, γ = 90.00°
Atoms (fractional coordinates):
K 0.250 0.250 0.250
K 0.250 0.250 0.750
K 0.250 0.750 0.250
K 0.250 0.750 0.750
K 0.750 0.250 0.250
K 0.750 0.250 0.750
K 0.750 0.750 0.250
K 0.750 0.750 0.750
Rb 0.000 0.000 0.000
Rb 0.000 0.500 0.500
Rb 0.500 0.000 0.500
Rb 0.500 0.500 0.000
I 0.000 0.000 0.500
I 0.000 0.500 0.000
I 0.500 0.000 0.000
I 0.500 0.500 0.500

- N(E_F): 0.33 states/eV/cell
- Formation energy without anion corrections: -0.44 eV per atom
- E: -25.8 eV for the cell shown
- Symmetry: Fm-3m, No. 225
- Energy above the lowest structure with this stoichiometry: 0.2446 eV per atom


# Tm2AgAu3

A geometry-optimized Tm2AgAu3 structure (GGA-PBE, the Alexandria database).

a = 4.931 Å, b = 4.931 Å, c = 11.935 Å
α = 90.00°, β = 90.00°, γ = 120.00°
Atoms (fractional coordinates):
Tm 0.000 0.000 0.000
Tm 0.000 0.000 0.500
Tm 0.333 0.667 0.187
Tm 0.667 0.333 0.813
Ag 0.333 0.667 0.675
Ag 0.667 0.333 0.325
Au 0.000 0.000 0.245
Au 0.000 0.000 0.755
Au 0.333 0.667 0.432
Au 0.333 0.667 0.932
Au 0.667 0.333 0.068
Au 0.667 0.333 0.568

- N(E_F): 7.37 states/eV/cell
- E: -51.7 eV for the cell shown
- Symmetry: P-3m1, No. 164
- ΔE_f: -0.7046 eV per atom
- Energy above the lowest structure with this stoichiometry: 0.0000 eV per atom


# CaZr2Co

A geometry-optimized CaZr2Co structure (GGA-PBE, the Alexandria database).

a = 3.282 Å, b = 3.282 Å, c = 8.257 Å
α = 90.00°, β = 90.00°, γ = 90.00°
Atoms (fractional coordinates):
Ca 0.000 0.000 0.000
Zr 0.000 0.000 0.398
Zr 0.500 0.500 0.653
Co 0.500 0.500 0.242

- N(E_F): 4.14 states/eV/cell
- E: -26.1 eV for the cell shown
- Symmetry: P4mm, No. 99
- ΔE_f: 0.0339 eV per atom
- Energy above the lowest structure with this stoichiometry: 0.0000 eV per atom


# CdW2Cl

A geometry-optimized CdW2Cl structure (GGA-PBE, the Alexandria database).

a = 3.808 Å, b = 3.808 Å, c = 10.499 Å
α = 90.00°, β = 90.00°, γ = 90.00°
Atoms (fractional coordinates):
Cd 0.000 0.000 0.000
Cd 0.500 0.500 0.500
W 0.000 0.500 0.250
W 0.000 0.500 0.750
W 0.500 0.000 0.250
W 0.500 0.000 0.750
Cl 0.000 0.000 0.500
Cl 0.500 0.500 0.000

- N(E_F): 9.40 states/eV/cell
- Formation energy without anion corrections: 1.30 eV per atom
- E: -46.9 eV for the cell shown
- Symmetry: I4/mmm, No. 139
- Energy above the lowest structure with this stoichiometry: 1.0714 eV per atom


# Pm6Pt2Se3Br

A geometry-optimized Pm6Pt2Se3Br structure (GGA-PBE, the Alexandria database).

a = 9.572 Å, b = 9.572 Å, c = 8.669 Å
α = 104.38°, β = 104.38°, γ = 24.85°
Atoms (fractional coordinates):
Pm 0.007 0.007 0.272
Pm 0.325 0.325 0.892
Pm 0.331 0.331 0.424
Pm 0.669 0.669 0.576
Pm 0.675 0.675 0.108
Pm 0.993 0.993 0.728
Pt 0.167 0.167 0.335
Pt 0.833 0.833 0.665
Se 0.159 0.159 0.839
Se 0.500 0.500 0.500
Se 0.841 0.841 0.161
Br 0.500 0.500 0.000

- N(E_F): 8.12 states/eV/cell
- Formation energy without anion corrections: -1.48 eV per atom
- E: -70.5 eV for the cell shown
- Symmetry: C2/m, No. 12


# SmTlTeSe

A geometry-optimized SmTlTeSe structure (GGA-PBE, the Alexandria database).

a = 4.376 Å, b = 4.376 Å, c = 24.471 Å
α = 90.00°, β = 90.00°, γ = 120.00°
Atoms (fractional coordinates):
Sm 0.000 0.000 0.000
Sm 0.333 0.667 0.667
Sm 0.667 0.333 0.333
Tl 0.000 0.000 0.174
Tl 0.333 0.667 0.841
Tl 0.667 0.333 0.507
Te 0.000 0.000 0.412
Te 0.333 0.667 0.079
Te 0.667 0.333 0.746
Se 0.000 0.000 0.606
Se 0.333 0.667 0.273
Se 0.667 0.333 0.940

- Formation energy without anion corrections: -1.21 eV per atom
- E: -55.6 eV for the cell shown
- Symmetry: R3m, No. 160


# HoPuIrPb

A geometry-optimized HoPuIrPb structure (GGA-PBE, the Alexandria database).

a = 7.258 Å, b = 7.258 Å, c = 7.258 Å
α = 90.00°, β = 90.00°, γ = 90.00°
Atoms (fractional coordinates):
Ho 0.000 0.000 0.000
Ho 0.000 0.500 0.500
Ho 0.500 0.000 0.500
Ho 0.500 0.500 0.000
Pu 0.000 0.000 0.500
Pu 0.000 0.500 0.000
Pu 0.500 0.000 0.000
Pu 0.500 0.500 0.500
Ir 0.250 0.250 0.250
Ir 0.250 0.750 0.750
Ir 0.750 0.250 0.750
Ir 0.750 0.750 0.250
Pb 0.250 0.250 0.750
Pb 0.250 0.750 0.250
Pb 0.750 0.250 0.250
Pb 0.750 0.750 0.750

- N(E_F): 36.71 states/eV/cell
- E: -130.0 eV for the cell shown
- Symmetry: F-43m, No. 216
- ΔE_f: -0.2528 eV per atom


# TbScBeAl

A geometry-optimized TbScBeAl structure (GGA-PBE, the Alexandria database).

a = 6.838 Å, b = 6.838 Å, c = 6.838 Å
α = 90.00°, β = 90.00°, γ = 90.00°
Atoms (fractional coordinates):
Tb 0.000 0.000 0.000
Tb 0.000 0.500 0.500
Tb 0.500 0.000 0.500
Tb 0.500 0.500 0.000
Sc 0.000 0.000 0.500
Sc 0.000 0.500 0.000
Sc 0.500 0.000 0.000
Sc 0.500 0.500 0.500
Be 0.250 0.250 0.750
Be 0.250 0.750 0.250
Be 0.750 0.250 0.250
Be 0.750 0.750 0.750
Al 0.250 0.250 0.250
Al 0.250 0.750 0.750
Al 0.750 0.250 0.750
Al 0.750 0.750 0.250

- N(E_F): 12.97 states/eV/cell
- E: -76.3 eV for the cell shown
- Symmetry: F-43m, No. 216
- ΔE_f: -0.1594 eV per atom


# HfTeI2

A geometry-optimized HfTeI2 structure (GGA-PBE, the Alexandria database).

a = 8.368 Å, b = 12.194 Å, c = 3.665 Å
α = 90.00°, β = 111.48°, γ = 90.00°
Atoms (fractional coordinates):
Hf 0.000 0.000 0.000
Hf 0.500 0.500 0.000
Te 0.280 0.000 0.797
Te 0.780 0.500 0.797
I 0.347 0.341 0.393
I 0.347 0.659 0.393
I 0.847 0.159 0.393
I 0.847 0.841 0.393

- Formation energy without anion corrections: -0.71 eV per atom
- E: -38.1 eV for the cell shown
- Symmetry: Cm, No. 8
- Energy above the lowest structure with this stoichiometry: 0.0000 eV per atom


# CrC2Br

A geometry-optimized CrC2Br structure (GGA-PBE, the Alexandria database).

a = 5.530 Å, b = 5.530 Å, c = 5.530 Å
α = 90.00°, β = 90.00°, γ = 90.00°
Atoms (fractional coordinates):
Cr 0.000 0.000 0.000
Cr 0.000 0.500 0.500
Cr 0.500 0.000 0.500
Cr 0.500 0.500 0.000
C 0.250 0.250 0.250
C 0.250 0.250 0.750
C 0.250 0.750 0.250
C 0.250 0.750 0.750
C 0.750 0.250 0.250
C 0.750 0.250 0.750
C 0.750 0.750 0.250
C 0.750 0.750 0.750
Br 0.000 0.000 0.500
Br 0.000 0.500 0.000
Br 0.500 0.000 0.000
Br 0.500 0.500 0.500

- N(E_F): 19.33 states/eV/cell
- Formation energy without anion corrections: 2.77 eV per atom
- E: -74.7 eV for the cell shown
- Symmetry: Fm-3m, No. 225
- Energy above the lowest structure with this stoichiometry: 1.2768 eV per atom


# K2ZnBiF8

A geometry-optimized K2ZnBiF8 structure (GGA-PBE, the Alexandria database).

a = 4.775 Å, b = 6.013 Å, c = 7.480 Å
α = 89.68°, β = 89.87°, γ = 83.59°
Atoms (fractional coordinates):
K 0.004 0.001 0.237
K 0.996 0.999 0.763
Zn 0.500 0.500 0.000
Bi 0.500 0.500 0.500
F 0.108 0.716 0.501
F 0.184 0.704 0.001
F 0.393 0.292 0.727
F 0.393 0.300 0.270
F 0.607 0.700 0.730
F 0.607 0.708 0.273
F 0.816 0.296 0.999
F 0.892 0.284 0.499

- N(E_F): 2.77 states/eV/cell
- Formation energy without anion corrections: -2.37 eV per atom
- E: -50.7 eV for the cell shown
- Symmetry: P-1, No. 2


# Ac2SnGe6

A geometry-optimized Ac2SnGe6 structure (GGA-PBE, the Alexandria database).

a = 10.388 Å, b = 10.388 Å, c = 10.388 Å
α = 156.67°, β = 145.65°, γ = 41.94°
Atoms (fractional coordinates):
Ac 0.124 0.124 0.000
Ac 0.876 0.876 0.000
Sn 0.500 0.000 0.500
Ge 0.084 0.287 0.798
Ge 0.199 0.500 0.699
Ge 0.489 0.287 0.202
Ge 0.511 0.713 0.798
Ge 0.801 0.500 0.301
Ge 0.916 0.713 0.202

- N(E_F): 4.39 states/eV/cell
- E: -42.8 eV for the cell shown
- Symmetry: Immm, No. 71
- ΔE_f: -0.3162 eV per atom


# GeMo3Pb

A geometry-optimized GeMo3Pb structure (GGA-PBE, the Alexandria database).

a = 5.228 Å, b = 5.228 Å, c = 5.228 Å
α = 90.00°, β = 90.00°, γ = 90.00°
Atoms (fractional coordinates):
Ge 0.000 0.000 0.000
Mo 0.000 0.500 0.500
Mo 0.500 0.000 0.500
Mo 0.500 0.500 0.000
Pb 0.500 0.500 0.500

- N(E_F): 6.66 states/eV/cell
- E: -27.9 eV for the cell shown
- Symmetry: Pm-3m, No. 221
- ΔE_f: 2.5750 eV per atom
- Energy above the lowest structure with this stoichiometry: 1.3457 eV per atom


# Dy6Mg5In

A geometry-optimized Dy6Mg5In structure (GGA-PBE, the Alexandria database).

a = 8.467 Å, b = 8.467 Å, c = 7.559 Å
α = 90.00°, β = 90.00°, γ = 143.22°
Atoms (fractional coordinates):
Dy 0.000 0.000 0.250
Dy 0.000 0.000 0.750
Dy 0.334 0.666 0.249
Dy 0.334 0.666 0.751
Dy 0.666 0.334 0.249
Dy 0.666 0.334 0.751
Mg 0.167 0.833 0.000
Mg 0.169 0.831 0.500
Mg 0.500 0.500 0.000
Mg 0.831 0.169 0.500
Mg 0.833 0.167 0.000
In 0.500 0.500 0.500

- N(E_F): 14.41 states/eV/cell
- E: -40.3 eV for the cell shown
- Symmetry: Cmmm, No. 65
- ΔE_f: -0.1606 eV per atom


# CePuTcHg

A geometry-optimized CePuTcHg structure (GGA-PBE, the Alexandria database).

a = 7.189 Å, b = 7.189 Å, c = 7.189 Å
α = 90.00°, β = 90.00°, γ = 90.00°
Atoms (fractional coordinates):
Ce 0.000 0.000 0.000
Ce 0.000 0.500 0.500
Ce 0.500 0.000 0.500
Ce 0.500 0.500 0.000
Pu 0.000 0.000 0.500
Pu 0.000 0.500 0.000
Pu 0.500 0.000 0.000
Pu 0.500 0.500 0.500
Tc 0.250 0.250 0.250
Tc 0.250 0.750 0.750
Tc 0.750 0.250 0.750
Tc 0.750 0.750 0.250
Hg 0.250 0.250 0.750
Hg 0.250 0.750 0.250
Hg 0.750 0.250 0.250
Hg 0.750 0.750 0.750

- N(E_F): 45.37 states/eV/cell
- E: -122.7 eV for the cell shown
- Symmetry: F-43m, No. 216
- ΔE_f: 0.0670 eV per atom
- Energy above the lowest structure with this stoichiometry: 0.1846 eV per atom


# OF

A geometry-optimized OF structure (GGA-PBE, the Alexandria database).

a = 3.794 Å, b = 4.099 Å, c = 4.690 Å
α = 87.18°, β = 71.36°, γ = 66.11°
Atoms (fractional coordinates):
O 0.000 0.000 0.000
O 0.065 0.992 0.731
F 0.669 0.281 0.650
F 0.787 0.731 0.151

- N(E_F): 0.00 states/eV/cell
- Formation energy without anion corrections: -0.15 eV per atom
- E: -14.2 eV for the cell shown
- Symmetry: P1, No. 1
- Energy above the lowest structure with this stoichiometry: 0.0000 eV per atom


# HoIn2Bi

A geometry-optimized HoIn2Bi structure (GGA-PBE, the Alexandria database).

a = 4.779 Å, b = 4.779 Å, c = 4.737 Å
α = 90.00°, β = 90.00°, γ = 90.00°
Atoms (fractional coordinates):
Ho 0.000 0.000 0.000
In 0.000 0.500 0.500
In 0.500 0.000 0.500
Bi 0.500 0.500 0.000

- N(E_F): 1.54 states/eV/cell
- E: -15.3 eV for the cell shown
- Symmetry: P4/mmm, No. 123
- ΔE_f: -0.3475 eV per atom


# KRb2MgHg

A geometry-optimized KRb2MgHg structure (GGA-PBE, the Alexandria database).

a = 7.131 Å, b = 7.131 Å, c = 5.531 Å
α = 90.00°, β = 90.00°, γ = 90.00°
Atoms (fractional coordinates):
K 0.000 0.000 0.000
Rb 0.000 0.500 0.500
Rb 0.500 0.000 0.500
Mg 0.500 0.500 0.000
Hg 0.500 0.500 0.500

- N(E_F): 2.96 states/eV/cell
- E: -4.9 eV for the cell shown
- Symmetry: P4/mmm, No. 123
- ΔE_f: 0.0149 eV per atom